Record 1
Density functional theory data (PBE-GGA) for a relaxed Ho2ScRu3 crystal.

abc: 7.431 7.431 6.681
angles: 90.00 90.00 143.16
Atoms (fractional coordinates):
1 Ho 0.000 0.000 0.000
2 Ho 0.000 0.000 0.500
3 Ho 0.333 0.667 0.000
4 Ho 0.667 0.333 0.000
5 Sc 0.331 0.669 0.500
6 Sc 0.669 0.331 0.500
7 Ru 0.169 0.831 0.260
8 Ru 0.169 0.831 0.740
9 Ru 0.500 0.500 0.256
10 Ru 0.500 0.500 0.744
11 Ru 0.831 0.169 0.260
12 Ru 0.831 0.169 0.740

Summary:
- calculated formation energy (eV per atom) = -0.398

Record 2
Density functional theory data (PBE-GGA) for a relaxed HoSc2Ru crystal.

abc: 7.158 8.549 5.963
angles: 90.00 90.00 90.00
Atoms (fractional coordinates):
1 Ho 0.036 0.250 0.123
2 Ho 0.464 0.750 0.623
3 Ho 0.536 0.250 0.377
4 Ho 0.964 0.750 0.877
5 Sc 0.175 0.064 0.657
6 Sc 0.175 0.436 0.657
7 Sc 0.325 0.564 0.157
8 Sc 0.325 0.936 0.157
9 Sc 0.675 0.064 0.843
10 Sc 0.675 0.436 0.843
11 Sc 0.825 0.564 0.343
12 Sc 0.825 0.936 0.343
13 Ru 0.117 0.750 0.438
14 Ru 0.383 0.250 0.938
15 Ru 0.617 0.750 0.062
16 Ru 0.883 0.250 0.562

Summary:
- calculated formation energy (eV per atom) = -0.351

Record 3
Density functional theory data (PBE-GGA) for a relaxed Ho6Sc2Ru crystal.

abc: 8.304 3.560 8.618
angles: 90.00 91.83 90.00
Atoms (fractional coordinates):
1 Ho 0.029 0.000 0.195
2 Ho 0.245 0.500 0.555
3 Ho 0.439 0.000 0.259
4 Ho 0.561 0.000 0.741
5 Ho 0.755 0.500 0.445
6 Ho 0.971 0.000 0.805
7 Sc 0.302 0.500 0.963
8 Sc 0.698 0.500 0.037
9 Ru 0.000 0.000 0.500

Summary:
- calculated formation energy (eV per atom) = -0.051

Record 4
Density functional theory data (PBE-GGA) for a relaxed Ho2ScRu crystal.

abc: 3.370 3.370 31.029
angles: 90.00 90.00 120.00
Atoms (fractional coordinates):
1 Ho 0.000 0.000 0.103
2 Ho 0.000 0.000 0.897
3 Ho 0.333 0.667 0.564
4 Ho 0.333 0.667 0.769
5 Ho 0.667 0.333 0.231
6 Ho 0.667 0.333 0.436
7 Sc 0.000 0.000 0.000
8 Sc 0.333 0.667 0.667
9 Sc 0.667 0.333 0.333
10 Ru 0.000 0.000 0.500
11 Ru 0.333 0.667 0.167
12 Ru 0.667 0.333 0.833

Summary:
- calculated formation energy (eV per atom) = 0.128

Record 5
Density functional theory data (PBE-GGA) for a relaxed HoScRu2 crystal.

abc: 6.592 6.592 6.592
angles: 90.00 90.00 90.00
Atoms (fractional coordinates):
1 Ho 0.000 0.000 0.000
2 Ho 0.000 0.500 0.500
3 Ho 0.500 0.000 0.500
4 Ho 0.500 0.500 0.000
5 Sc 0.000 0.000 0.500
6 Sc 0.000 0.500 0.000
7 Sc 0.500 0.000 0.000
8 Sc 0.500 0.500 0.500
9 Ru 0.250 0.250 0.250
10 Ru 0.250 0.250 0.750
11 Ru 0.250 0.750 0.250
12 Ru 0.250 0.750 0.750
13 Ru 0.750 0.250 0.250
14 Ru 0.750 0.250 0.750
15 Ru 0.750 0.750 0.250
16 Ru 0.750 0.750 0.750

Summary:
- calculated formation energy (eV per atom) = -0.435

Record 6
Density functional theory data (PBE-GGA) for a relaxed HoSc4Ru2 crystal.

abc: 7.314 5.903 7.556
angles: 90.00 112.03 90.00
Atoms (fractional coordinates):
1 Ho 0.014 0.250 0.160
2 Ho 0.986 0.750 0.840
3 Sc 0.241 0.000 0.584
4 Sc 0.241 0.500 0.584
5 Sc 0.333 0.750 0.257
6 Sc 0.389 0.250 0.021
7 Sc 0.611 0.750 0.979
8 Sc 0.667 0.250 0.743
9 Sc 0.759 0.000 0.416
10 Sc 0.759 0.500 0.416
11 Ru 0.028 0.250 0.744
12 Ru 0.425 0.250 0.378
13 Ru 0.575 0.750 0.622
14 Ru 0.972 0.750 0.256

Summary:
- calculated formation energy (eV per atom) = -0.350

Record 7
Density functional theory data (PBE-GGA) for a relaxed Ho2ScRu crystal.

abc: 7.090 8.953 6.191
angles: 90.00 90.00 90.00
Atoms (fractional coordinates):
1 Ho 0.179 0.062 0.173
2 Ho 0.179 0.438 0.173
3 Ho 0.321 0.562 0.673
4 Ho 0.321 0.938 0.673
5 Ho 0.679 0.062 0.327
6 Ho 0.679 0.438 0.327
7 Ho 0.821 0.562 0.827
8 Ho 0.821 0.938 0.827
9 Sc 0.043 0.250 0.631
10 Sc 0.457 0.750 0.131
11 Sc 0.543 0.250 0.869
12 Sc 0.957 0.750 0.369
13 Ru 0.117 0.750 0.983
14 Ru 0.383 0.250 0.483
15 Ru 0.617 0.750 0.517
16 Ru 0.883 0.250 0.017

Summary:
- calculated formation energy (eV per atom) = -0.351

Record 8
Density functional theory data (PBE-GGA) for a relaxed HoSc3Ru3 crystal.

abc: 5.616 5.616 5.616
angles: 109.99 109.99 109.99
Atoms (fractional coordinates):
1 Ho 0.000 0.000 0.000
2 Sc 0.410 0.410 0.826
3 Sc 0.410 0.826 0.410
4 Sc 0.826 0.410 0.410
5 Ru 0.411 0.905 0.905
6 Ru 0.905 0.411 0.905
7 Ru 0.905 0.905 0.411

Summary:
- calculated formation energy (eV per atom) = -0.467

Record 9
Density functional theory data (PBE-GGA) for a relaxed HoSc2Ru crystal.

abc: 3.266 3.266 8.333
angles: 90.00 90.00 90.00
Atoms (fractional coordinates):
1 Ho 0.000 0.000 0.000
2 Sc 0.500 0.500 0.317
3 Sc 0.500 0.500 0.683
4 Ru 0.000 0.000 0.500

Summary:
- calculated formation energy (eV per atom) = -0.317

Record 10
Density functional theory data (PBE-GGA) for a relaxed Ho2ScRu3 crystal.

abc: 3.333 3.333 9.935
angles: 90.00 90.00 90.00
Atoms (fractional coordinates):
1 Ho 0.000 0.000 0.171
2 Ho 0.000 0.000 0.829
3 Sc 0.000 0.000 0.500
4 Ru 0.500 0.500 0.000
5 Ru 0.500 0.500 0.344
6 Ru 0.500 0.500 0.656

Summary:
- calculated formation energy (eV per atom) = -0.402

Record 11
Density functional theory data (PBE-GGA) for a relaxed Ho3ScRu2 crystal.

abc: 8.156 8.156 8.156
angles: 132.52 71.86 129.45
Atoms (fractional coordinates):
1 Ho 0.019 0.750 0.269
2 Ho 0.250 0.250 0.000
3 Ho 0.481 0.750 0.731
4 Ho 0.519 0.250 0.269
5 Ho 0.750 0.750 0.000
6 Ho 0.981 0.250 0.731
7 Sc 0.000 0.500 0.500
8 Sc 0.500 0.000 0.500
9 Ru 0.132 0.227 0.359
10 Ru 0.368 0.727 0.095
11 Ru 0.632 0.273 0.905
12 Ru 0.868 0.773 0.641

Summary:
- calculated formation energy (eV per atom) = -0.261

Record 12
Density functional theory data (PBE-GGA) for a relaxed Ho3ScRu2 crystal.

abc: 6.641 6.641 6.229
angles: 90.00 90.00 90.71
Atoms (fractional coordinates):
1 Ho 0.066 0.571 0.250
2 Ho 0.075 0.925 0.750
3 Ho 0.429 0.934 0.250
4 Ho 0.571 0.066 0.750
5 Ho 0.925 0.075 0.250
6 Ho 0.934 0.429 0.750
7 Sc 0.438 0.562 0.750
8 Sc 0.562 0.438 0.250
9 Ru 0.259 0.259 0.000
10 Ru 0.259 0.259 0.500
11 Ru 0.741 0.741 0.000
12 Ru 0.741 0.741 0.500

Summary:
- calculated formation energy (eV per atom) = -0.374

Record 13
Density functional theory data (PBE-GGA) for a relaxed Ho3ScRu4 crystal.

abc: 3.351 4.724 9.438
angles: 90.00 90.00 90.00
Atoms (fractional coordinates):
1 Ho 0.000 0.000 0.000
2 Ho 0.000 0.500 0.256
3 Ho 0.000 0.500 0.744
4 Sc 0.000 0.000 0.500
5 Ru 0.500 0.000 0.260
6 Ru 0.500 0.000 0.740
7 Ru 0.500 0.500 0.000
8 Ru 0.500 0.500 0.500

Summary:
- calculated formation energy (eV per atom) = -0.382

Record 14
Density functional theory data (PBE-GGA) for a relaxed HoSc2Ru3 crystal.

abc: 3.277 3.277 9.756
angles: 90.00 90.00 90.00
Atoms (fractional coordinates):
1 Ho 0.000 0.000 0.000
2 Sc 0.000 0.000 0.338
3 Sc 0.000 0.000 0.662
4 Ru 0.500 0.500 0.178
5 Ru 0.500 0.500 0.500
6 Ru 0.500 0.500 0.822

Summary:
- calculated formation energy (eV per atom) = -0.464

Record 15
Density functional theory data (PBE-GGA) for a relaxed HoSc2Ru3 crystal.

abc: 4.624 13.815 3.288
angles: 90.00 90.00 90.00
Atoms (fractional coordinates):
1 Ho 0.000 0.000 0.000
2 Ho 0.500 0.500 0.000
3 Sc 0.000 0.331 0.000
4 Sc 0.000 0.669 0.000
5 Sc 0.500 0.169 0.000
6 Sc 0.500 0.831 0.000
7 Ru 0.000 0.172 0.500
8 Ru 0.000 0.500 0.500
9 Ru 0.000 0.828 0.500
10 Ru 0.500 0.000 0.500
11 Ru 0.500 0.328 0.500
12 Ru 0.500 0.672 0.500

Summary:
- calculated formation energy (eV per atom) = -0.459

Record 16
Density functional theory data (PBE-GGA) for a relaxed Ho2Sc3Ru2 crystal.

abc: 11.109 3.850 8.053
angles: 90.00 114.26 90.00
Atoms (fractional coordinates):
1 Ho 0.156 0.000 0.300
2 Ho 0.344 0.500 0.700
3 Ho 0.656 0.500 0.300
4 Ho 0.844 0.000 0.700
5 Sc 0.000 0.500 0.500
6 Sc 0.126 0.500 0.928
7 Sc 0.374 0.000 0.072
8 Sc 0.500 0.000 0.500
9 Sc 0.626 0.000 0.928
10 Sc 0.874 0.500 0.072
11 Ru 0.165 0.000 0.719
12 Ru 0.335 0.500 0.281
13 Ru 0.665 0.500 0.719
14 Ru 0.835 0.000 0.281

Summary:
- calculated formation energy (eV per atom) = -0.381

Record 17
Density functional theory data (PBE-GGA) for a relaxed HoScRu2 crystal.

abc: 6.608 9.339 4.649
angles: 90.00 90.00 90.00
Atoms (fractional coordinates):
1 Ho 0.000 0.129 0.250
2 Ho 0.000 0.871 0.750
3 Ho 0.500 0.371 0.750
4 Ho 0.500 0.629 0.250
5 Sc 0.000 0.380 0.750
6 Sc 0.000 0.620 0.250
7 Sc 0.500 0.120 0.250
8 Sc 0.500 0.880 0.750
9 Ru 0.244 0.375 0.250
10 Ru 0.244 0.625 0.750
11 Ru 0.256 0.125 0.750
12 Ru 0.256 0.875 0.250
13 Ru 0.744 0.125 0.750
14 Ru 0.744 0.875 0.250
15 Ru 0.756 0.375 0.250
16 Ru 0.756 0.625 0.750

Summary:
- calculated formation energy (eV per atom) = -0.427

Record 18
Density functional theory data (PBE-GGA) for a relaxed Ho2ScRu crystal.

abc: 3.406 3.406 8.356
angles: 90.00 90.00 90.00
Atoms (fractional coordinates):
1 Ho 0.000 0.000 0.197
2 Ho 0.000 0.000 0.803
3 Sc 0.500 0.500 0.500
4 Ru 0.500 0.500 0.000

Summary:
- calculated formation energy (eV per atom) = -0.194

Record 19
Density functional theory data (PBE-GGA) for a relaxed HoScRu2 crystal.

abc: 3.295 3.295 6.606
angles: 90.00 90.00 90.00
Atoms (fractional coordinates):
1 Ho 0.000 0.000 0.000
2 Sc 0.000 0.000 0.500
3 Ru 0.500 0.500 0.263
4 Ru 0.500 0.500 0.737

Summary:
- calculated formation energy (eV per atom) = -0.431

Record 20
Density functional theory data (PBE-GGA) for a relaxed Ho2ScRu crystal.

abc: 3.820 11.477 8.906
angles: 90.00 90.00 90.00
Atoms (fractional coordinates):
1 Ho 0.000 0.139 0.065
2 Ho 0.000 0.139 0.435
3 Ho 0.000 0.861 0.565
4 Ho 0.000 0.861 0.935
5 Ho 0.500 0.361 0.565
6 Ho 0.500 0.361 0.935
7 Ho 0.500 0.639 0.065
8 Ho 0.500 0.639 0.435
9 Sc 0.000 0.424 0.250
10 Sc 0.000 0.576 0.750
11 Sc 0.500 0.076 0.750
12 Sc 0.500 0.924 0.250
13 Ru 0.000 0.233 0.750
14 Ru 0.000 0.767 0.250
15 Ru 0.500 0.267 0.250
16 Ru 0.500 0.733 0.750

Summary:
- calculated formation energy (eV per atom) = -0.331

Record 21
Density functional theory data (PBE-GGA) for a relaxed Ho8ScRu2 crystal.

abc: 7.337 7.337 7.190
angles: 110.49 110.49 69.50
Atoms (fractional coordinates):
1 Ho 0.083 0.689 0.706
2 Ho 0.168 0.168 0.787
3 Ho 0.311 0.917 0.294
4 Ho 0.379 0.379 0.290
5 Ho 0.621 0.621 0.710
6 Ho 0.689 0.083 0.706
7 Ho 0.832 0.832 0.213
8 Ho 0.917 0.311 0.294
9 Sc 0.500 0.500 0.000
10 Ru 0.315 0.315 0.593
11 Ru 0.685 0.685 0.407

Summary:
- calculated formation energy (eV per atom) = -0.041

Record 22
Density functional theory data (PBE-GGA) for a relaxed HoSc3Ru4 crystal.

abc: 4.599 4.599 6.527
angles: 90.00 90.00 90.00
Atoms (fractional coordinates):
1 Ho 0.000 0.000 0.000
2 Sc 0.000 0.000 0.500
3 Sc 0.500 0.500 0.000
4 Sc 0.500 0.500 0.500
5 Ru 0.000 0.500 0.257
6 Ru 0.000 0.500 0.743
7 Ru 0.500 0.000 0.257
8 Ru 0.500 0.000 0.743

Summary:
- calculated formation energy (eV per atom) = -0.474

Record 23
Density functional theory data (PBE-GGA) for a relaxed HoScTlRu crystal.

abc: 6.982 6.982 6.982
angles: 90.00 90.00 90.00
Atoms (fractional coordinates):
1 Ho 0.000 0.000 0.000
2 Ho 0.000 0.500 0.500
3 Ho 0.500 0.000 0.500
4 Ho 0.500 0.500 0.000
5 Sc 0.000 0.000 0.500
6 Sc 0.000 0.500 0.000
7 Sc 0.500 0.000 0.000
8 Sc 0.500 0.500 0.500
9 Tl 0.250 0.250 0.750
10 Tl 0.250 0.750 0.250
11 Tl 0.750 0.250 0.250
12 Tl 0.750 0.750 0.750
13 Ru 0.250 0.250 0.250
14 Ru 0.250 0.750 0.750
15 Ru 0.750 0.250 0.750
16 Ru 0.750 0.750 0.250

Summary:
- calculated formation energy (eV per atom) = -0.271

Record 24
Density functional theory data (PBE-GGA) for a relaxed HoScTlRu crystal.

abc: 3.305 3.305 8.019
angles: 90.00 90.00 90.00
Atoms (fractional coordinates):
1 Ho 0.000 0.000 0.000
2 Sc 0.000 0.000 0.598
3 Tl 0.500 0.500 0.315
4 Ru 0.500 0.500 0.780

Summary:
- calculated formation energy (eV per atom) = -0.456